1.
A plane-wave DFT calculation with SCAN was carried out for a PBEsol-optimized structure of K3B6BrO10.

a = 10.1216 Å, b = 10.1216 Å, c = 8.8898 Å
α = 90.00°, β = 90.00°, γ = 120.00°
Space group R3m (No. 160, hexagonal axes)
Symmetry-distinct sites (fractional):
K (0.1803, 0.3606, 0.0000)
B (0.0872, 0.1743, 0.6651)
B (0.1831, 0.3661, 0.4472)
Br (0.0000, 0.0000, 0.1173)
O (0.0000, 0.0000, 0.6726)
O (0.0011, 0.2345, 0.7438)
O (0.1108, 0.2216, 0.5083)

Summary:
Energy relative to the elements, uncorrected in kJ/mol of formula units: -4963.1
Total DFT energy (no corrections) in eV per atom: -10.14

2.
A plane-wave DFT calculation with SCAN was carried out for a PBEsol-optimized structure of KB2RhBr.

a = 4.0986 Å, b = 4.0986 Å, c = 5.5921 Å
α = 90.00°, β = 90.00°, γ = 90.00°
Space group P4/mmm (No. 123)
Symmetry-distinct sites (fractional):
K (0.0000, 0.0000, 0.0000)
B (0.0000, 0.5000, 0.5000)
Rh (0.5000, 0.5000, 0.5000)
Br (0.5000, 0.5000, 0.0000)

Summary:
Energy relative to the elements, uncorrected in kJ/mol of formula units: 77.3
Total DFT energy (no corrections) in eV per atom: -15.12

3.
A plane-wave DFT calculation with SCAN was carried out for a PBEsol-optimized structure of La2B3Br.

a = 7.7773 Å, b = 7.7773 Å, c = 8.3761 Å
α = 90.00°, β = 90.00°, γ = 120.00°
Space group P-6m2 (No. 187)
Symmetry-distinct sites (fractional):
La (0.0000, 0.0000, 0.2353)
La (0.0006, 0.5003, 0.2200)
B (0.1383, 0.2765, 0.0000)
B (0.2624, 0.5248, 0.0000)
B (0.2773, 0.1386, 0.0000)
B (0.5248, 0.2624, 0.0000)
Br (0.1699, 0.3399, 0.5000)
Br (0.6667, 0.3333, 0.5000)

Summary:
Energy relative to the elements, uncorrected in kJ/mol of formula units: -552.2
Total DFT energy (no corrections) in eV per atom: -22.28